[1]
## Nd2NpO7 (PBE)

Data for a relaxed Nd2NpO7 crystal.

Structure (extended XYZ):
```
20
Lattice="-0.2745 2.6358 6.6226 5.7717 2.0452 3.3977 -0.6281 8.1824 2.6181" Properties=species:S:1:pos:R:3 pbc="T T T"
Nd 4.4839 9.7729 9.9165
Nd 2.3895 4.1218 5.7895
Nd 2.4796 8.7416 6.8489
Nd 0.3852 3.0905 2.7219
Np 0.4125 6.6319 2.8675
Np 4.4566 6.2315 9.7709
O 2.1156 9.9127 9.1218
O 0.5123 4.9737 6.9198
O 4.3825 10.3101 7.1304
O 0.8510 5.1006 4.0423
O 0.5436 9.0100 5.5098
O 0.6446 7.7771 8.0154
O 0.8637 7.6217 5.1395
O 4.0054 5.2417 7.4990
O 4.2245 5.0862 4.6230
O 4.3256 3.8534 7.1287
O 4.0182 7.7628 8.5961
O 0.4867 2.5532 5.5080
O 4.3569 7.8897 5.7186
O 2.7536 2.9507 3.5166
```

Output
Total moment   2.0 Bohr magnetons per cell
Crystal system   triclinic
E_form (uncorrected)   -2.7562 eV per atom
SG   P-1, No. 2
DOS at the Fermi energy   0.6 states/eV/cell

---

[2]
## Ce4Rh2C (PBE)

Data for a relaxed Ce4Rh2C crystal.

Structure (extended XYZ):
```
7
Lattice="4.8595 0.0000 0.0000 0.0000 4.8595 0.0000 -2.4297 -2.4297 6.9464" Properties=species:S:1:pos:R:3 pbc="T T T"
C 0.0000 0.0000 0.0000
Rh 2.4297 2.4297 1.9923
Rh 0.0000 0.0000 4.9541
Ce 2.4297 2.4297 4.3879
Ce 0.0000 0.0000 2.5586
Ce 0.0000 2.4297 0.0000
Ce 2.4297 0.0000 0.0000
```

Output
Total moment   1.4 Bohr magnetons per cell
Crystal system   tetragonal
SG   I4/mmm, No. 139
DFT formation energy   -368 meV/atom
DOS at the Fermi energy   14.9 states/eV/cell

---

In the order shown, the computed density values come out to 7508, 7879 kg/m3.